An optimized crystal structure of Hf7Pt3, computed with GGA-PBE.

abc: 9.155 9.155 5.817
angles: 90.00 90.00 120.00
Sites, in units of the cell vectors:
1 Hf 0.082 0.541 0.000
2 Hf 0.138 0.276 0.288
3 Hf 0.138 0.862 0.288
4 Hf 0.276 0.138 0.788
5 Hf 0.333 0.667 0.440
6 Hf 0.459 0.541 0.000
7 Hf 0.459 0.918 0.000
8 Hf 0.541 0.082 0.500
9 Hf 0.541 0.459 0.500
10 Hf 0.667 0.333 0.940
11 Hf 0.724 0.862 0.288
12 Hf 0.862 0.138 0.788
13 Hf 0.862 0.724 0.788
14 Hf 0.918 0.459 0.500
15 Pt 0.189 0.377 0.727
16 Pt 0.189 0.811 0.727
17 Pt 0.377 0.189 0.227
18 Pt 0.623 0.811 0.727
19 Pt 0.811 0.189 0.227
20 Pt 0.811 0.623 0.227

formation enthalpy at 0 K	-0.691	eV per atom
calculated volume	21.1	A^3/atom
total magnetic moment	0.000	μB per formula unit